No. 1
The following is a DFT calculation (GGA-PBEsol) of crystalline GaCuGeSe4 at its relaxed geometry.

## Properties
* uncorrected formation energy: -2.6 eV/f.u.
* total energy: -4.378 eV/atom
* crystal system: tetragonal

Structure (CIF):
```
data_GaCuGeSe4
_space_group_name_H-M_alt 'P 1'
_space_group_IT_number 1
_cell_length_a 6.595
_cell_length_b 6.595
_cell_length_c 6.595
_cell_angle_alpha 131.36
_cell_angle_beta 131.36
_cell_angle_gamma 71.24
loop_
_space_group_symop_operation_xyz
'x,y,z'
loop_
_atom_site_label
_atom_site_fract_x
_atom_site_fract_y
_atom_site_fract_z
_atom_site_occupancy
Ga1 0.000 0.000 0.000 1
Cu1 0.250 0.750 0.500 1
Ge1 0.750 0.250 0.500 1
Se1 0.154 0.154 0.542 1
Se2 0.388 0.846 0.999 1
Se3 0.612 0.612 0.458 1
Se4 0.846 0.388 0.001 1
```

=====

No. 2
The following is a DFT calculation (GGA-PBEsol) of crystalline Zn8Sb at its relaxed geometry.

## Properties
* uncorrected formation energy: 0.8 eV/f.u.
* N(E_F): 3.120 states/eV per cell
* total energy: -1.821 eV/atom
* crystal system: tetragonal

Structure (CIF):
```
data_Zn8Sb
_space_group_name_H-M_alt 'P 1'
_space_group_IT_number 1
_cell_length_a 6.310
_cell_length_b 6.310
_cell_length_c 6.310
_cell_angle_alpha 95.70
_cell_angle_beta 95.70
_cell_angle_gamma 143.27
loop_
_space_group_symop_operation_xyz
'x,y,z'
loop_
_atom_site_label
_atom_site_fract_x
_atom_site_fract_y
_atom_site_fract_z
_atom_site_occupancy
Zn1 0.000 0.345 0.345 1
Zn2 0.000 0.655 0.655 1
Zn3 0.319 0.319 0.639 1
Zn4 0.319 0.681 0.000 1
Zn5 0.345 0.000 0.345 1
Zn6 0.655 0.000 0.655 1
Zn7 0.681 0.319 0.000 1
Zn8 0.681 0.681 0.361 1
Sb1 0.000 0.000 0.000 1
```

=====

No. 3
The following is a DFT calculation (GGA-PBEsol) of crystalline SmAs2Pd3 at its relaxed geometry.

## Properties
* N(E_F): 8.298 states/eV per cell
* total energy: -6.380 eV/atom
* formation energy from the elements: -850 meV per atom
* crystal system: monoclinic

Structure (CIF):
```
data_SmAs2Pd3
_space_group_name_H-M_alt 'P 1'
_space_group_IT_number 1
_cell_length_a 8.496
_cell_length_b 8.496
_cell_length_c 9.912
_cell_angle_alpha 107.24
_cell_angle_beta 107.24
_cell_angle_gamma 27.59
loop_
_space_group_symop_operation_xyz
'x,y,z'
loop_
_atom_site_label
_atom_site_fract_x
_atom_site_fract_y
_atom_site_fract_z
_atom_site_occupancy
Sm1 0.000 0.000 0.000 1
Sm2 0.153 0.153 0.699 1
Sm3 0.847 0.847 0.301 1
As1 0.199 0.199 0.131 1
As2 0.363 0.363 0.545 1
As3 0.462 0.462 0.212 1
As4 0.538 0.538 0.788 1
As5 0.637 0.637 0.455 1
As6 0.801 0.801 0.869 1
Pd1 0.042 0.042 0.334 1
Pd2 0.220 0.220 0.390 1
Pd3 0.321 0.321 0.034 1
Pd4 0.377 0.377 0.800 1
Pd5 0.500 0.500 0.500 1
Pd6 0.623 0.623 0.200 1
Pd7 0.679 0.679 0.966 1
Pd8 0.780 0.780 0.610 1
Pd9 0.958 0.958 0.666 1
```

=====

No. 4
The following is a DFT calculation (GGA-PBEsol) of crystalline RbSi3As at its relaxed geometry.

## Properties
* uncorrected formation energy: 12.0 eV/f.u.
* N(E_F): 5.861 states/eV per cell
* total energy: -2.270 eV/atom
* crystal system: cubic

Structure (CIF):
```
data_RbSi3As
_space_group_name_H-M_alt 'P 1'
_space_group_IT_number 1
_cell_length_a 5.272
_cell_length_b 5.272
_cell_length_c 5.272
_cell_angle_alpha 90.00
_cell_angle_beta 90.00
_cell_angle_gamma 90.00
loop_
_space_group_symop_operation_xyz
'x,y,z'
loop_
_atom_site_label
_atom_site_fract_x
_atom_site_fract_y
_atom_site_fract_z
_atom_site_occupancy
Rb1 0.000 0.000 0.000 1
Si1 0.000 0.000 0.500 1
Si2 0.000 0.500 0.000 1
Si3 0.500 0.000 0.000 1
As1 0.500 0.500 0.500 1
```

=====

Look up the total energy of the first one.
-4.378 eV/atom